(1)
# TmPtPbAu | the Alexandria database | PBE | optimized geometry
# - Spin magnetization: 0.00 μB per cell
# - V: 85.71 Å³/cell
# - D(E_F): 0.366 states/eV/atom
# - ΔE_f: -660 meV per atom
# - E: -5.035 eV/atom
# - Space-group type: F-43m
data_TmPtPbAu
_chemical_formula_sum 'Tm1 Pt1 Pb1 Au1'
_symmetry_space_group_name_H-M 'P 1'
_symmetry_Int_Tables_number 1
_symmetry_space_group_name_Hall 'P 1'
_cell_length_a 4.949
_cell_length_b 4.949
_cell_length_c 4.949
_cell_angle_alpha 60.00
_cell_angle_beta 60.00
_cell_angle_gamma 60.00
loop_
_atom_site_label
_atom_site_fract_x
_atom_site_fract_y
_atom_site_fract_z
Pb1 0.500 0.500 0.500
Tm1 0.000 0.000 0.000
Au1 0.250 0.250 0.250
Pt1 0.750 0.750 0.750

***

(2)
# YPtPbAu | the Alexandria database | PBE | optimized geometry
# - Spin magnetization: 0.00 μB per cell
# - V: 87.80 Å³/cell
# - D(E_F): 0.340 states/eV/atom
# - ΔE_f: -666 meV per atom
# - E: -5.539 eV/atom
# - Space-group type: F-43m
data_YPtPbAu
_chemical_formula_sum 'Y1 Pt1 Pb1 Au1'
_symmetry_space_group_name_H-M 'P 1'
_symmetry_Int_Tables_number 1
_symmetry_space_group_name_Hall 'P 1'
_cell_length_a 4.989
_cell_length_b 4.989
_cell_length_c 4.989
_cell_angle_alpha 60.00
_cell_angle_beta 60.00
_cell_angle_gamma 60.00
loop_
_atom_site_label
_atom_site_fract_x
_atom_site_fract_y
_atom_site_fract_z
Pb1 0.000 0.000 0.000
Y1 0.500 0.500 0.500
Au1 0.250 0.250 0.250
Pt1 0.750 0.750 0.750

***

(3)
# ZnPt2PbAu | the Alexandria database | PBE | optimized geometry
# - Spin magnetization: 0.00 μB per cell
# - V: 137.05 Å³/cell
# - D(E_F): 1.149 states/eV/atom
# - ΔE_f: 1083 meV per atom
# - E: -2.985 eV/atom
# - Space-group type: P4/mmm
data_ZnPt2PbAu
_chemical_formula_sum 'Zn1 Pt2 Pb1 Au1'
_symmetry_space_group_name_H-M 'P 1'
_symmetry_Int_Tables_number 1
_symmetry_space_group_name_Hall 'P 1'
_cell_length_a 5.118
_cell_length_b 5.118
_cell_length_c 5.231
_cell_angle_alpha 90.00
_cell_angle_beta 90.00
_cell_angle_gamma 90.00
loop_
_atom_site_label
_atom_site_fract_x
_atom_site_fract_y
_atom_site_fract_z
Pb1 0.000 0.000 0.000
Zn1 0.500 0.500 0.500
Au1 0.000 0.000 0.500
Pt1 0.000 0.500 0.000
Pt2 0.500 0.000 0.000

***

(4)
# PuPb3Au8 | the Alexandria database | PBE | optimized geometry
# - Spin magnetization: 5.32 μB per cell
# - V: 264.27 Å³/cell
# - D(E_F): 1.565 states/eV/atom
# - ΔE_f: -150 meV per atom
# - E: -4.456 eV/atom
# - Space-group type: R3m
data_PuPb3Au8
_chemical_formula_sum 'Pu1 Pb3 Au8'
_symmetry_space_group_name_H-M 'P 1'
_symmetry_Int_Tables_number 1
_symmetry_space_group_name_Hall 'P 1'
_cell_length_a 5.730
_cell_length_b 5.730
_cell_length_c 9.865
_cell_angle_alpha 73.12
_cell_angle_beta 73.12
_cell_angle_gamma 60.00
loop_
_atom_site_label
_atom_site_fract_x
_atom_site_fract_y
_atom_site_fract_z
Pu1 0.876 0.876 0.373
Pb1 0.373 0.373 0.881
Pb2 0.001 0.001 0.996
Pb3 0.499 0.499 0.503
Au1 0.936 0.437 0.190
Au2 0.440 0.938 0.684
Au3 0.437 0.437 0.190
Au4 0.938 0.938 0.684
Au5 0.188 0.188 0.437
Au6 0.688 0.688 0.937
Au7 0.437 0.936 0.190
Au8 0.938 0.440 0.684

***

(5)
# Pu3Pb2Au | the Alexandria database | PBE | optimized geometry
# - Spin magnetization: 5.90 μB per cell
# - V: 159.93 Å³/cell
# - D(E_F): 4.156 states/eV/atom
# - ΔE_f: -234 meV per atom
# - E: -9.182 eV/atom
# - Space-group type: P4/mmm
data_Pu3Pb2Au
_chemical_formula_sum 'Pu3 Pb2 Au1'
_symmetry_space_group_name_H-M 'P 1'
_symmetry_Int_Tables_number 1
_symmetry_space_group_name_Hall 'P 1'
_cell_length_a 3.449
_cell_length_b 3.449
_cell_length_c 13.445
_cell_angle_alpha 90.00
_cell_angle_beta 90.00
_cell_angle_gamma 90.00
loop_
_atom_site_label
_atom_site_fract_x
_atom_site_fract_y
_atom_site_fract_z
Pu1 0.000 0.000 0.000
Pu2 0.000 0.000 0.647
Pu3 0.000 0.000 0.353
Pb1 0.500 0.500 0.825
Pb2 0.500 0.500 0.175
Au1 0.500 0.500 0.500

***

(6)
# PuPb2Au | the Alexandria database | PBE | optimized geometry
# - Spin magnetization: 5.76 μB per cell
# - V: 102.91 Å³/cell
# - E above lowest polymorph: 0 meV per atom
# - D(E_F): 3.336 states/eV/atom
# - ΔE_f: -182 meV per atom
# - E: -6.438 eV/atom
# - Space-group type: P4/mmm
data_PuPb2Au
_chemical_formula_sum 'Pu1 Pb2 Au1'
_symmetry_space_group_name_H-M 'P 1'
_symmetry_Int_Tables_number 1
_symmetry_space_group_name_Hall 'P 1'
_cell_length_a 4.537
_cell_length_b 4.763
_cell_length_c 4.763
_cell_angle_alpha 90.00
_cell_angle_beta 90.00
_cell_angle_gamma 90.00
loop_
_atom_site_label
_atom_site_fract_x
_atom_site_fract_y
_atom_site_fract_z
Pb1 0.000 0.000 0.500
Pb2 0.000 0.500 0.000
Au1 0.500 0.000 0.000
Pu1 0.500 0.500 0.500

***

(7)
# PuPb2Au | the Alexandria database | PBE | optimized geometry
# - Spin magnetization: 6.56 μB per cell
# - V: 114.46 Å³/cell
# - E above lowest polymorph: 375 meV per atom
# - D(E_F): 2.548 states/eV/atom
# - ΔE_f: 193 meV per atom
# - E: -6.063 eV/atom
# - Space-group type: R-3m
data_PuPb2Au
_chemical_formula_sum 'Pu1 Pb2 Au1'
_symmetry_space_group_name_H-M 'P 1'
_symmetry_Int_Tables_number 1
_symmetry_space_group_name_Hall 'P 1'
_cell_length_a 3.464
_cell_length_b 3.464
_cell_length_c 11.196
_cell_angle_alpha 81.10
_cell_angle_beta 81.10
_cell_angle_gamma 60.00
loop_
_atom_site_label
_atom_site_fract_x
_atom_site_fract_y
_atom_site_fract_z
Pb1 0.099 0.099 0.703
Pb2 0.901 0.901 0.297
Au1 0.500 0.500 0.500
Pu1 0.000 0.000 0.000

***

(8)
# Pu4PbAu3 | the Alexandria database | PBE | optimized geometry
# - Spin magnetization: 11.66 μB per cell
# - V: 198.38 Å³/cell
# - D(E_F): 4.306 states/eV/atom
# - ΔE_f: -314 meV per atom
# - E: -9.172 eV/atom
# - Space-group type: Pmmm
data_Pu4PbAu3
_chemical_formula_sum 'Pu4 Pb1 Au3'
_symmetry_space_group_name_H-M 'P 1'
_symmetry_Int_Tables_number 1
_symmetry_space_group_name_Hall 'P 1'
_cell_length_a 3.178
_cell_length_b 5.615
_cell_length_c 11.116
_cell_angle_alpha 90.00
_cell_angle_beta 90.00
_cell_angle_gamma 90.00
loop_
_atom_site_label
_atom_site_fract_x
_atom_site_fract_y
_atom_site_fract_z
Pb1 0.500 0.500 0.000
Au1 0.500 0.000 0.250
Au2 0.500 0.500 0.500
Au3 0.500 0.000 0.750
Pu1 0.000 0.000 0.500
Pu2 0.000 0.500 0.738
Pu3 0.000 0.000 0.000
Pu4 0.000 0.500 0.262